Record 1
# Zr2Rh (GGA-PBE, relaxed)
data_Zr2Rh
_cell_length_a 5.534
_cell_length_b 5.534
_cell_length_c 5.534
_cell_angle_alpha 60.00
_cell_angle_beta 60.00
_cell_angle_gamma 60.00
_symmetry_space_group_name_H-M 'P 1'
_symmetry_Int_Tables_number 1
loop_
_symmetry_equiv_pos_as_xyz
'x,y,z'
loop_
_atom_site_label
_atom_site_type_symbol
_atom_site_fract_x
_atom_site_fract_y
_atom_site_fract_z
Zr1 Zr 0.125 0.625 0.125
Zr2 Zr 0.125 0.125 0.625
Zr3 Zr 0.625 0.125 0.125
Rh1 Rh 0.500 0.500 0.500
Rh2 Rh 0.750 0.750 0.750
Zr4 Zr 0.125 0.125 0.125
# electronic total energy: -23.4 eV/f.u.
# SG: No. 227
# ΔE_f: 346 meV/atom
# density: 7909 kg/m3

Record 2
# TbPm3Er2Se6 (GGA-PBE, relaxed)
data_TbPm3Er2Se6
_cell_length_a 4.089
_cell_length_b 8.342
_cell_length_c 9.266
_cell_angle_alpha 104.30
_cell_angle_beta 102.75
_cell_angle_gamma 90.00
_symmetry_space_group_name_H-M 'P 1'
_symmetry_Int_Tables_number 1
loop_
_symmetry_equiv_pos_as_xyz
'x,y,z'
loop_
_atom_site_label
_atom_site_type_symbol
_atom_site_fract_x
_atom_site_fract_y
_atom_site_fract_z
Pm1 Pm 0.165 0.833 0.330
Er1 Er 0.166 0.332 0.332
Se1 Se 0.665 0.093 0.331
Se2 Se 0.670 0.575 0.341
Se3 Se 0.004 0.246 0.008
Pm2 Pm 0.835 0.167 0.670
Er2 Er 0.834 0.668 0.668
Se4 Se 0.335 0.907 0.669
Pm3 Pm 0.500 0.500 0.000
Se5 Se 0.330 0.425 0.659
Se6 Se 0.996 0.754 0.992
Tb1 Tb 0.500 0.000 0.000
# electronic total energy: -70.3 eV/f.u.
# SG: No. 12
# formation energy from raw total energies: -1.783 eV per atom
# density: 7808 kg/m3

Record 3
# Dy4Sc (GGA-PBE, relaxed)
data_Dy4Sc
_cell_length_a 3.496
_cell_length_b 3.496
_cell_length_c 14.265
_cell_angle_alpha 83.06
_cell_angle_beta 83.06
_cell_angle_gamma 60.04
_symmetry_space_group_name_H-M 'P 1'
_symmetry_Int_Tables_number 1
loop_
_symmetry_equiv_pos_as_xyz
'x,y,z'
loop_
_atom_site_label
_atom_site_type_symbol
_atom_site_fract_x
_atom_site_fract_y
_atom_site_fract_z
Dy1 Dy 0.397 0.397 0.808
Dy2 Dy 0.201 0.201 0.398
Dy3 Dy 0.603 0.603 0.192
Sc1 Sc 0.000 0.000 0.000
Dy4 Dy 0.799 0.799 0.602
# excess energy over the best structure of this formula in the dataset: 0 meV per atom
# electronic total energy: -24.5 eV/f.u.
# SG: No. 12
# ΔE_f: 38 meV/atom
# density: 7716 kg/m3

- Among the records above, which one has the highest electronic total energy?
  Zr2Rh

- The highest electronic total energy belongs to which entry?
  Zr2Rh

- density of number 3 (Dy4Sc)?
  7716 kg/m3